10
Lattice="2.858 0.000 0.000 0.000 6.409 0.000 0.000 0.000 6.409" Properties=species:S:1:pos:R:3 comment="Be2PIr2 (meta-GGA SCAN, PBEsol geometry)" crystal_system=tetragonal e_form_ev_per_atom=-0.336 n_ef_per_ev_cell=3.7 sg="P4/mbm, No. 127" pbc="T T T"
Be 1.429 4.016 5.597
Be 1.429 2.393 0.811
Be 1.429 5.597 2.393
Be 1.429 0.811 4.016
P 0.000 3.204 3.204
P 0.000 0.000 0.000
Ir 0.000 4.277 1.072
Ir 0.000 5.336 4.277
Ir 0.000 1.072 2.132
Ir 0.000 2.132 5.336

---

3
Lattice="-1.712 1.271 2.031 -1.066 -2.178 -1.671 2.136 -4.668 4.722" Properties=species:S:1:pos:R:3 comment="LiCdAg (meta-GGA SCAN, PBEsol geometry)" crystal_system=trigonal e_form_ev_per_atom=-0.138 n_ef_per_ev_cell=0.8 sg="P3m1, No. 156" pbc="T T T"
Ag 0.030 -0.065 0.065
Li -0.808 -1.383 2.318
Cd 0.137 -4.128 2.698

---

64
Lattice="8.410 0.000 0.000 0.000 8.438 0.000 0.000 0.000 8.438" Properties=species:S:1:pos:R:3 comment="Mg30AlNiO32 (meta-GGA SCAN, PBEsol geometry)" crystal_system=tetragonal n_ef_per_ev_cell=3.6 sg="P4/mmm, No. 123" e_form_raw_ev_per_atom=-2.9359 pbc="T T T"
Mg 4.205 4.219 0.000
Mg 2.079 4.219 2.135
Mg 6.331 2.135 4.219
Mg 2.079 6.303 4.219
Mg 6.307 2.122 0.000
Mg 6.331 6.303 4.219
Mg 4.205 0.000 0.000
Mg 6.331 4.219 6.303
Mg 6.307 0.000 2.122
Mg 6.307 0.000 6.316
Mg 0.000 2.143 6.295
Mg 0.000 4.219 0.000
Mg 2.079 4.219 6.303
Mg 0.000 6.295 2.143
Mg 0.000 0.000 4.219
Mg 4.205 0.000 4.219
Mg 2.103 0.000 6.316
Mg 4.205 2.120 2.120
Mg 6.307 6.316 0.000
Mg 0.000 6.295 6.295
Mg 2.079 2.135 4.219
Mg 2.103 0.000 2.122
Mg 4.205 6.317 6.317
Mg 0.000 2.143 2.143
Mg 2.103 6.316 0.000
Mg 6.331 4.219 2.135
Mg 4.205 4.219 4.219
Mg 4.205 6.317 2.120
Mg 2.103 2.122 0.000
Mg 4.205 2.120 6.317
O 0.000 6.456 4.219
O 0.000 1.982 4.219
O 6.245 4.219 4.219
O 4.205 0.000 2.084
O 0.000 4.219 6.456
O 1.988 0.000 0.000
O 2.165 4.219 4.219
O 6.309 0.000 4.219
O 6.422 0.000 0.000
O 2.098 6.333 2.105
O 2.098 2.105 2.105
O 2.101 0.000 4.219
O 4.205 2.084 0.000
O 4.205 4.219 6.343
O 6.312 2.105 2.105
O 0.000 1.963 0.000
O 2.098 6.333 6.333
O 2.098 2.105 6.333
O 0.000 6.474 0.000
O 0.000 0.000 6.474
O 2.101 4.219 0.000
O 0.000 4.219 1.982
O 4.205 6.343 4.219
O 4.205 2.095 4.219
O 4.205 0.000 6.354
O 6.309 4.219 0.000
O 6.312 6.333 6.333
O 6.312 2.105 6.333
O 4.205 4.219 2.095
O 0.000 0.000 1.963
O 4.205 6.354 0.000
O 6.312 6.333 2.105
Ni 0.000 4.219 4.219
Al 0.000 0.000 0.000

---

5
Lattice="-1.408 1.165 -3.026 -3.099 -1.884 0.716 -1.377 2.938 1.772" Properties=species:S:1:pos:R:3 comment="NbCrN2O (meta-GGA SCAN, PBEsol geometry)" crystal_system=tetragonal n_ef_per_ev_cell=2.5 sg="P4/mmm, No. 123" e_form_raw_ev_per_atom=-0.4251 pbc="T T T"
Cr 0.000 0.000 0.000
N -0.688 1.469 0.886
N -1.549 -0.942 0.358
O -0.704 0.583 -1.513
Nb -2.942 1.109 -0.269

---

4
Lattice="-1.350 -2.025 1.050 4.335 -2.603 0.552 -0.873 4.346 3.912" Properties=species:S:1:pos:R:3 comment="KTcOs2 (meta-GGA SCAN, PBEsol geometry)" crystal_system=orthorhombic e_form_ev_per_atom=1.161 n_ef_per_ev_cell=3.1 sg="Imm2, No. 44" pbc="T T T"
Tc 0.573 1.877 4.353
K 2.477 -0.289 2.625
Os 0.047 0.155 0.359
Os -0.364 0.007 2.890

---

4
Lattice="3.011 0.000 0.000 0.000 3.011 0.000 0.000 0.000 6.848" Properties=species:S:1:pos:R:3 comment="Mn2TlAs (meta-GGA SCAN, PBEsol geometry)" crystal_system=tetragonal e_form_ev_per_atom=0.108 n_ef_per_ev_cell=4.2 sg="P4/mmm, No. 123" pbc="T T T"
As 1.505 1.505 3.424
Mn 0.000 0.000 4.755
Mn 0.000 0.000 2.093
Tl 1.505 1.505 0.000

---

5
Lattice="4.392 0.000 0.000 0.000 4.392 0.000 0.000 0.000 4.392" Properties=species:S:1:pos:R:3 comment="CaNbF3 (meta-GGA SCAN, PBEsol geometry)" crystal_system=cubic n_ef_per_ev_cell=1.2 sg="Pm-3m, No. 221" e_form_raw_ev_per_atom=-2.1358 pbc="T T T"
Nb 0.000 0.000 0.000
F 0.000 2.196 0.000
F 2.196 0.000 0.000
F 0.000 0.000 2.196
Ca 2.196 2.196 2.196

---

5
Lattice="-1.358 4.258 -0.033 -4.243 -1.350 0.393 0.365 0.150 4.452" Properties=species:S:1:pos:R:3 comment="GaPtW3 (meta-GGA SCAN, PBEsol geometry)" crystal_system=cubic e_form_ev_per_atom=1.880 n_ef_per_ev_cell=4.3 sg="Pm-3m, No. 221" pbc="T T T"
W 0.182 0.075 2.226
W -0.679 2.129 -0.016
W -2.121 -0.675 0.196
Pt -2.618 1.529 2.406
Ga 0.000 0.000 0.000

---

5
Lattice="5.675 0.000 0.000 -1.892 5.350 0.000 -1.892 -2.675 4.634" Properties=species:S:1:pos:R:3 comment="Sc4Tl (meta-GGA SCAN, PBEsol geometry)" crystal_system=cubic e_form_ev_per_atom=0.366 n_ef_per_ev_cell=8.8 sg="Im-3m, No. 229" pbc="T T T"
Sc 2.838 0.000 0.000
Sc -0.946 -1.338 2.317
Sc 0.946 1.338 2.317
Sc -0.946 2.675 0.000
Tl 0.000 0.000 0.000

---

11
Lattice="4.183 0.000 0.000 0.000 4.183 0.000 0.000 0.000 8.085" Properties=species:S:1:pos:R:3 comment="SrNb4O6 (meta-GGA SCAN, PBEsol geometry)" crystal_system=tetragonal n_ef_per_ev_cell=1.9 sg="P4/mmm, No. 123" e_form_raw_ev_per_atom=-2.5592 pbc="T T T"
O 2.091 0.000 6.172
O 2.091 2.091 0.000
O 0.000 2.091 6.172
O 0.000 0.000 4.042
O 0.000 2.091 1.913
O 2.091 0.000 1.913
Sr 0.000 0.000 0.000
Nb 0.000 2.091 4.042
Nb 2.091 2.091 6.054
Nb 2.091 0.000 4.042
Nb 2.091 2.091 2.031

---

4
Lattice="3.367 0.000 0.080 0.000 5.059 0.000 -0.486 0.000 5.926" Properties=species:S:1:pos:R:3 comment="LiCdPb2 (meta-GGA SCAN, PBEsol geometry)" crystal_system=monoclinic e_form_ev_per_atom=-0.113 n_ef_per_ev_cell=1.4 sg="P2/m, No. 10" pbc="T T T"
Cd 1.683 2.530 0.040
Li -0.243 2.530 2.963
Pb 2.118 0.000 4.479
Pb 0.763 0.000 1.527

---

4
Lattice="-2.528 0.460 1.210 -2.228 -1.119 -4.229 0.587 -4.021 2.755" Properties=species:S:1:pos:R:3 comment="LiAgAu2 (meta-GGA SCAN, PBEsol geometry)" crystal_system=orthorhombic e_form_ev_per_atom=-0.350 n_ef_per_ev_cell=1.0 sg="Cmmm, No. 65" pbc="T T T"
Ag -1.264 0.230 0.605
Au 0.294 -2.010 1.377
Au -1.114 -0.559 -2.114
Li -2.084 -2.340 -0.132

---

Which formula does entry 7 have? CaNbF3